Record 1
## TaHg4 (PBE)

Data for an optimized crystal structure of TaHg4.

POSCAR file:
```
TaHg4
1.0
-1.904 1.904 8.377
1.904 -1.904 8.377
1.904 1.904 -8.377
Ta Hg
1 4
Cartesian
0.000 0.000 0.000
1.904 0.000 4.189
0.000 0.000 6.886
0.000 0.000 9.869
0.000 1.904 4.189
```

Calculated values
Formation enthalpy at 0 K, eV per atom: 0.78

Record 2
## Tb2HoGa2 (PBE)

Data for an optimized crystal structure of Tb2HoGa2.

POSCAR file:
```
Tb2HoGa2
1.0
7.639 0.000 0.000
0.000 7.639 0.000
0.000 0.000 4.357
Tb Ho Ga
4 2 4
Cartesian
1.332 2.487 0.000
2.487 6.307 0.000
5.152 1.332 0.000
6.307 5.152 0.000
0.000 0.000 2.179
3.820 3.820 2.179
0.916 4.736 2.179
2.903 0.916 2.179
4.736 6.723 2.179
6.723 2.903 2.179
```

Calculated values
Formation enthalpy at 0 K, eV per atom: -0.52

Record 3
## InIr2Cl (PBE)

Data for an optimized crystal structure of InIr2Cl.

POSCAR file:
```
InIr2Cl
1.0
5.389 -1.461 0.000
5.389 1.461 0.000
-1.085 0.000 4.415
In Ir Cl
1 2 1
Cartesian
0.000 0.000 0.000
2.466 0.000 2.589
5.583 0.000 2.405
8.171 0.000 0.586
```

Calculated values
E_form (uncorrected), eV/atom: 0.47

Record 4
## AcAgHgGe (PBE)

Data for an optimized crystal structure of AcAgHgGe.

POSCAR file:
```
AcAgHgGe
1.0
0.000 3.716 3.716
3.716 0.000 3.716
3.716 3.716 0.000
Ac Ag Hg Ge
1 1 1 1
Cartesian
0.000 0.000 0.000
3.716 3.716 3.716
5.574 5.574 5.574
1.858 1.858 1.858
```

Calculated values
Formation enthalpy at 0 K, eV per atom: -0.31

no.,size of the total moment (μB/f.u.)
1,0.9
2,0.0
3,0.0
4,0.0